# 1
Entry from Alexandria via LeMat-Bulk: crystalline Pm3Er2Al3 at its relaxed geometry (PBE-GGA).

Geometry as POSCAR:
```
Pm3Er2Al3
1.0
-2.397 2.594 -1.139
0.326 -1.862 -4.927
-7.280 -7.162 5.051
Er Al Pm
2 3 3
direct
0.731 0.231 0.462
0.269 0.769 0.538
0.000 0.500 0.000
0.120 0.120 0.240
0.880 0.880 0.760
0.380 0.380 0.759
0.500 0.000 0.000
0.620 0.620 0.241
```

Calculated values
Its formation energy is -0.279 eV/atom. The density comes out at 6.60 g cm⁻³. The total moment is 0.0000 μB per atom. Its density of states at the Fermi level is 6.474 states/eV/cell. The total DFT energy (no corrections) is -4.6049 eV per atom. As for the symmetry: Immm.



# 2
Entry from Alexandria via LeMat-Bulk: crystalline PmEr3Al4 at its relaxed geometry (PBE-GGA).

Geometry as POSCAR:
```
PmEr3Al4
1.0
5.077 0.000 0.000
0.000 7.244 0.000
0.000 0.000 10.154
Er Al Pm
6 8 2
direct
0.500 0.000 0.750
0.500 0.500 0.750
0.000 0.000 0.000
0.500 0.000 0.250
0.000 0.000 0.500
0.500 0.500 0.250
0.500 0.242 0.000
0.000 0.758 0.250
0.000 0.242 0.250
0.000 0.758 0.750
0.500 0.758 0.500
0.500 0.758 0.000
0.500 0.242 0.500
0.000 0.242 0.750
0.000 0.500 0.000
0.000 0.500 0.500
```

Calculated values
Its formation energy is -0.385 eV/atom. The density comes out at 6.71 g cm⁻³. The total moment is 0.0000 μB per atom. Its density of states at the Fermi level is 6.120 states/eV/cell. The total DFT energy (no corrections) is -4.5611 eV per atom. As for the symmetry: P4/mmm.